A relaxed structure of CsBa3O, computed with GGA-PBE.

```
data_CsBa3O
_chemical_formula_sum 'Cs1 Ba3 O1'
_cell_length_a 6.4496
_cell_length_b 6.4496
_cell_length_c 6.4496
_cell_angle_alpha 90.00
_cell_angle_beta 90.00
_cell_angle_gamma 90.00
_space_group_name_H-M_alt 'P m -3 m'
_space_group_IT_number 221
_space_group_name_Hall '-P 4 2 3'
loop_
_atom_site_label
_atom_site_type_symbol
_atom_site_fract_x
_atom_site_fract_y
_atom_site_fract_z
Cs1 Cs 0.0000 0.0000 0.0000
Ba1 Ba 0.0000 0.0000 0.5000
O1 O 0.5000 0.5000 0.5000
```

N(E_F) in states/eV/f.u.: 7.2
E above lowest polymorph in kJ/mol of formula units: 785.4
Energy in eV per atom: -1.327
Uncorrected formation energy in meV/atom: 989
Magnetization in μB/f.u.: 1.45